No. 1
Mn3O5F: optimized geometry, PBEsol.

Structure (CIF):
```
data_Mn3O5F
_cell_length_a 5.308
_cell_length_b 5.343
_cell_length_c 6.854
_cell_angle_alpha 73.11
_cell_angle_beta 72.65
_cell_angle_gamma 73.99
_space_group_name_H-M_alt 'P 1'
_space_group_IT_number 1
_space_group_name_Hall 'P 1'
loop_
_atom_site_label
_atom_site_type_symbol
_atom_site_fract_x
_atom_site_fract_y
_atom_site_fract_z
Mn1 Mn 0.000 0.000 0.000
Mn2 Mn 0.650 0.667 0.841
O1 O 0.642 0.017 0.670
Mn3 Mn 0.357 0.307 0.668
Mn4 Mn 0.350 0.333 0.159
F1 F 0.034 0.611 0.678
O2 O 0.107 0.096 0.704
O3 O 0.764 0.770 0.037
O4 O 0.431 0.440 0.371
O5 O 0.358 0.983 0.330
Mn5 Mn 0.643 0.693 0.332
O6 O 0.569 0.560 0.629
F2 F 0.966 0.389 0.322
O7 O 0.304 0.692 0.001
O8 O 0.236 0.230 0.963
O9 O 0.893 0.904 0.296
O10 O 0.696 0.308 0.999
Mn6 Mn 0.000 0.000 0.500
```

Properties
Density in g/cm³: 5.04
E_form (uncorrected) in eV/atom: -1.7244
Space group: P-1
Energy above the lowest structure with this stoichiometry in meV/atom: 20

No. 2
SnH3Br: optimized geometry, PBEsol.

Structure (CIF):
```
data_SnH3Br
_cell_length_a 3.937
_cell_length_b 3.937
_cell_length_c 3.937
_cell_angle_alpha 90.00
_cell_angle_beta 90.00
_cell_angle_gamma 90.00
_space_group_name_H-M_alt 'P 1'
_space_group_IT_number 1
_space_group_name_Hall 'P 1'
loop_
_atom_site_label
_atom_site_type_symbol
_atom_site_fract_x
_atom_site_fract_y
_atom_site_fract_z
H1 H 0.000 0.500 0.000
H2 H 0.500 0.000 0.000
Sn1 Sn 0.000 0.000 0.000
Br1 Br 0.500 0.500 0.500
H3 H 0.000 0.000 0.500
```

Properties
Density in g/cm³: 5.49
Space group: Pm-3m

No. 3
PtSe3F: optimized geometry, PBEsol.

Structure (CIF):
```
data_PtSe3F
_cell_length_a 4.488
_cell_length_b 4.488
_cell_length_c 4.488
_cell_angle_alpha 90.00
_cell_angle_beta 90.00
_cell_angle_gamma 90.00
_space_group_name_H-M_alt 'P 1'
_space_group_IT_number 1
_space_group_name_Hall 'P 1'
loop_
_atom_site_label
_atom_site_type_symbol
_atom_site_fract_x
_atom_site_fract_y
_atom_site_fract_z
Se1 Se 0.000 0.000 0.500
Pt1 Pt 0.500 0.500 0.500
F1 F 0.000 0.000 0.000
Se2 Se 0.500 0.000 0.000
Se3 Se 0.000 0.500 0.000
```

Properties
Density in g/cm³: 8.28
E_form (uncorrected) in eV/atom: 0.8199
Space group: Pm-3m

No. 4
Al2FeAgO: optimized geometry, PBEsol.

Structure (CIF):
```
data_Al2FeAgO
_cell_length_a 4.674
_cell_length_b 4.674
_cell_length_c 4.739
_cell_angle_alpha 90.00
_cell_angle_beta 90.00
_cell_angle_gamma 90.00
_space_group_name_H-M_alt 'P 1'
_space_group_IT_number 1
_space_group_name_Hall 'P 1'
loop_
_atom_site_label
_atom_site_type_symbol
_atom_site_fract_x
_atom_site_fract_y
_atom_site_fract_z
Al1 Al 0.500 0.000 0.000
Fe1 Fe 0.000 0.000 0.500
Ag1 Ag 0.000 0.000 0.000
O1 O 0.500 0.500 0.500
Al2 Al 0.000 0.500 0.000
```

Properties
Density in g/cm³: 3.75
E_form (uncorrected) in eV/atom: 1.1155
Space group: P4/mmm

no.,total energy (eV/atom)
1,-8.11
2,-2.92
3,-3.27
4,-4.03